Hf2ZrCu4As4 | PBE | optimized geometry

abc: 6.459 3.818 7.624
angles: 90.00 92.20 90.00
Atoms (fractional coordinates):
As: 0.748 0.000 0.889
As: 0.228 0.000 0.621
As: 0.238 0.500 0.116
As: 0.775 0.500 0.368
Cu: 0.148 0.500 0.422
Cu: 0.837 0.000 0.562
Cu: 0.368 0.000 0.944
Cu: 0.626 0.500 0.063
Hf: 0.034 0.500 0.813
Hf: 0.528 0.500 0.677
Zr: 0.472 0.000 0.327

Calculated values
* magnetic moment: 0.001 μB per formula unit
* space-group type: No. 6
* total DFT energy (no corrections): -67.301 eV/cell

=====

CuHgAsIr | PBE | optimized geometry

abc: 4.534 4.534 4.534
angles: 60.00 60.00 60.00
Atoms (fractional coordinates):
As: 0.000 0.000 0.000
Hg: 0.500 0.500 0.500
Cu: 0.750 0.750 0.750
Ir: 0.250 0.250 0.250

Calculated values
* energy above the lowest structure with this stoichiometry: 0.000 eV per atom
* magnetic moment: 0.002 μB per formula unit
* space-group type: No. 216
* total DFT energy (no corrections): -15.989 eV/cell

=====

LiCuHgAs | PBE | optimized geometry

abc: 4.563 4.563 4.563
angles: 60.00 60.00 60.00
Atoms (fractional coordinates):
As: 0.000 0.000 0.000
Cu: 0.750 0.750 0.750
Li: 0.250 0.250 0.250
Hg: 0.500 0.500 0.500

Calculated values
* energy above the lowest structure with this stoichiometry: 0.000 eV per atom
* space-group type: No. 216
* total DFT energy (no corrections): -10.941 eV/cell

=====

LuCuHgAs | PBE | optimized geometry

abc: 4.832 4.832 4.832
angles: 60.00 60.00 60.00
Atoms (fractional coordinates):
Lu: 0.250 0.250 0.250
Hg: 0.500 0.500 0.500
Cu: 0.750 0.750 0.750
As: 0.000 0.000 0.000

Calculated values
* energy above the lowest structure with this stoichiometry: 0.000 eV per atom
* magnetic moment: 0.002 μB per formula unit
* space-group type: No. 216
* total DFT energy (no corrections): -14.171 eV/cell

=====

Number 2 is which compound? CuHgAsIr

=====

What is the formula in the second record? CuHgAsIr